Material: CaY2Ti
Method: DFT, GGA-PBE
State: relaxed

a = 5.505 Å, b = 5.505 Å, c = 5.505 Å
α = 60.00°, β = 60.00°, γ = 60.00°
Site moments in Bohr magnetons follow the coordinates.
Sites, in units of the cell vectors:
Y (0.750, 0.750, 0.750)  0.28
Y (0.250, 0.250, 0.250)  0.28
Ca (0.000, 0.000, 0.000)  0.04
Ti (0.500, 0.500, 0.500)  1.55

Values from the calculation:
V (Å³/atom): 29.5
Crystal system: cubic
DFT formation energy (eV/atom): 0.330
Space-group type: Fm-3m (225)
E above lowest polymorph (eV/atom): 0.1532

=====

Material: Ca2Y2Ti
Method: DFT, GGA-PBE
State: relaxed

a = 9.103 Å, b = 9.103 Å, c = 3.811 Å
α = 90.00°, β = 90.00°, γ = 90.00°
Site moments in Bohr magnetons follow the coordinates.
Sites, in units of the cell vectors:
Ti (0.500, 0.500, 0.000)  1.26
Ti (0.000, 0.000, 0.000)  1.26
Y (0.341, 0.159, 0.500)  -0.05
Y (0.159, 0.659, 0.500)  -0.06
Y (0.841, 0.341, 0.500)  -0.06
Y (0.659, 0.841, 0.500)  -0.05
Ca (0.357, 0.857, 0.000)  -0.02
Ca (0.643, 0.143, 0.000)  -0.02
Ca (0.857, 0.643, 0.000)  -0.01
Ca (0.143, 0.357, 0.000)  -0.01

Values from the calculation:
V (Å³/atom): 31.6
Crystal system: tetragonal
DFT formation energy (eV/atom): 0.655
Space-group type: P4/mbm (127)
E above lowest polymorph (eV/atom): 0.1645

=====

Material: Ca2Y2Ti
Method: DFT, GGA-PBE
State: relaxed

a = 4.243 Å, b = 4.243 Å, c = 9.594 Å
α = 77.23°, β = 77.23°, γ = 90.00°
Site moments in Bohr magnetons follow the coordinates.
Sites, in units of the cell vectors:
Y (0.586, 0.586, 0.828)  0.10
Y (0.414, 0.414, 0.172)  0.10
Ca (0.250, 0.750, 0.500)  -0.01
Ca (0.750, 0.250, 0.500)  -0.01
Ti (0.000, 0.000, 0.000)  1.37

Values from the calculation:
V (Å³/atom): 32.8
Crystal system: tetragonal
DFT formation energy (eV/atom): 0.644
Space-group type: I4/mmm (139)
E above lowest polymorph (eV/atom): 0.1539

=====

Material: CaY2Ti
Method: DFT, GGA-PBE
State: relaxed

a = 8.595 Å, b = 8.595 Å, c = 6.923 Å
α = 51.63°, β = 51.63°, γ = 90.00°
Site moments in Bohr magnetons follow the coordinates.
Sites, in units of the cell vectors:
Ca (0.500, 0.500, 0.000)  0.06
Ca (0.250, 0.750, 0.500)  0.06
Y (0.652, 0.625, 0.250)  0.30
Y (0.875, 0.348, 0.750)  0.30
Y (0.098, 0.125, 0.250)  0.30
Y (0.375, 0.902, 0.750)  0.29
Ti (0.750, 0.250, 0.500)  1.63
Ti (0.000, 0.000, 0.000)  1.63

Values from the calculation:
V (Å³/atom): 30.6
Crystal system: tetragonal
DFT formation energy (eV/atom): 0.603
Space-group type: I-42d (122)
E above lowest polymorph (eV/atom): 0.4267

=====

Material: Ca2Y2Ti
Method: DFT, GGA-PBE
State: relaxed

a = 4.365 Å, b = 4.365 Å, c = 9.838 Å
α = 77.18°, β = 77.18°, γ = 90.00°
Site moments in Bohr magnetons follow the coordinates.
Sites, in units of the cell vectors:
Ti (0.000, 0.000, 0.000)  1.91
Y (0.250, 0.750, 0.500)  0.01
Y (0.750, 0.250, 0.500)  0.01
Ca (0.409, 0.409, 0.182)  0.09
Ca (0.591, 0.591, 0.818)  0.09

Values from the calculation:
V (Å³/atom): 35.6
Crystal system: tetragonal
DFT formation energy (eV/atom): 0.725
Space-group type: I4/mmm (139)
E above lowest polymorph (eV/atom): 0.2344

=====

Material: Ca2Y2Ti
Method: DFT, GGA-PBE
State: relaxed

a = 7.701 Å, b = 7.701 Å, c = 5.784 Å
α = 90.00°, β = 90.00°, γ = 90.00°
Site moments in Bohr magnetons follow the coordinates.
Sites, in units of the cell vectors:
Y (0.848, 0.652, 0.000)  0.23
Y (0.348, 0.848, 0.000)  0.22
Y (0.152, 0.348, 0.000)  0.23
Y (0.652, 0.152, 0.000)  0.22
Ti (0.000, 0.000, 0.000)  1.54
Ti (0.500, 0.500, 0.000)  1.54
Ca (0.172, 0.672, 0.500)  0.04
Ca (0.328, 0.172, 0.500)  0.04
Ca (0.828, 0.328, 0.500)  0.04
Ca (0.672, 0.828, 0.500)  0.04

Values from the calculation:
V (Å³/atom): 34.3
Crystal system: tetragonal
DFT formation energy (eV/atom): 0.490
Space-group type: P4/mbm (127)
E above lowest polymorph (eV/atom): 0.0000

=====

Please write out number 6 again, unchanged.
Material: Ca2Y2Ti
Method: DFT, GGA-PBE
State: relaxed

a = 7.701 Å, b = 7.701 Å, c = 5.784 Å
α = 90.00°, β = 90.00°, γ = 90.00°
Site moments in Bohr magnetons follow the coordinates.
Sites, in units of the cell vectors:
Y (0.848, 0.652, 0.000)  0.23
Y (0.348, 0.848, 0.000)  0.22
Y (0.152, 0.348, 0.000)  0.23
Y (0.652, 0.152, 0.000)  0.22
Ti (0.000, 0.000, 0.000)  1.54
Ti (0.500, 0.500, 0.000)  1.54
Ca (0.172, 0.672, 0.500)  0.04
Ca (0.328, 0.172, 0.500)  0.04
Ca (0.828, 0.328, 0.500)  0.04
Ca (0.672, 0.828, 0.500)  0.04

Values from the calculation:
V (Å³/atom): 34.3
Crystal system: tetragonal
DFT formation energy (eV/atom): 0.490
Space-group type: P4/mbm (127)
E above lowest polymorph (eV/atom): 0.0000

=====

Which of these has the lowest E above lowest polymorph? number 6